[1]
Computed, not measured: an optimized crystal structure of La6DyEr4 at the PBE level of DFT.

Values from the calculation:
For the formation energy, the calculation gives 0.102 eV per atom.

```
data_La6DyEr4
_chemical_formula_sum 'La24 Dy4 Er16'
_cell_length_a 5.886
_cell_length_b 9.858
_cell_length_c 26.263
_cell_angle_alpha 90.00
_cell_angle_beta 90.00
_cell_angle_gamma 90.00
_space_group_name_H-M_alt 'C m c m'
_space_group_IT_number 63
_space_group_name_Hall '-C 2c 2'
loop_
_atom_site_label
_atom_site_fract_x
_atom_site_fract_y
_atom_site_fract_z
La1 0.000 0.000 0.000
La2 0.000 0.036 0.250
La3 0.000 0.312 0.598
La4 0.000 0.363 0.182
Dy1 0.000 0.302 0.750
Er1 0.000 0.028 0.125
Er2 0.000 0.343 0.046
```

---

[2]
Computed, not measured: an optimized crystal structure of CdPbSe2 at the PBE level of DFT.

Values from the calculation:
The uncorrected formation energy comes out at -0.484 eV/atom.

```
data_CdPbSe2
_chemical_formula_sum 'Cd1 Pb1 Se2'
_cell_length_a 4.4191
_cell_length_b 4.4191
_cell_length_c 8.1854
_cell_angle_alpha 90.00
_cell_angle_beta 90.00
_cell_angle_gamma 120.00
_space_group_name_H-M_alt 'P 3 m 1'
_space_group_IT_number 156
_space_group_name_Hall 'P 3 -2"'
loop_
_atom_site_label
_atom_site_fract_x
_atom_site_fract_y
_atom_site_fract_z
Cd1 0.0000 0.0000 0.0000
Pb1 0.6667 0.3333 0.5053
Se1 0.0000 0.0000 0.3360
Se2 0.6667 0.3333 0.8984
```

---

Total magnetization
In order: 0.00; 0.00
Unit: Bohr magnetons per cell